Record 1
Below is a geometry-optimized CaAuSe2 structure, with properties calculated at the PBE level.

```
4
Lattice="-7.794 -0.610 2.493 -6.384 -4.752 1.997 -5.390 -2.512 5.654" Properties=species:S:1:pos:R:3 pbc="T T T"
Ca -9.784 -3.937 5.072
Se -17.574 -7.072 9.110
Se -1.994 -0.803 1.034
Au 0.000 0.000 0.000
```

Properties
- DOS(E_F): 5.5 states/eV per cell
- Uncorrected formation energy: -72.8 kJ/mol of atoms
- Symmetry: R-3m, No. 166
- Energy: -0.14024 hartree per atom
- Magnetic moment: 0.0 μB/cell


Record 2
Below is a geometry-optimized BP2O structure, with properties calculated at the PBE level.

```
4
Lattice="2.850 -1.382 2.111 2.089 2.347 2.148 -0.317 -0.101 3.792" Properties=species:S:1:pos:R:3 pbc="T T T"
P 1.156 0.216 2.013
O 2.311 0.432 4.025
P 3.467 0.648 6.038
B 0.000 0.000 0.000
```

Properties
- DOS(E_F): 1.9 states/eV per cell
- Uncorrected formation energy: 81.9 kJ/mol of atoms
- Symmetry: Fm-3m, No. 225
- Energy: -0.17509 hartree per atom
- Magnetic moment: 0.0 μB/cell


Record 3
Below is a geometry-optimized Ca2MgMn structure, with properties calculated at the PBE level.

```
4
Lattice="-4.278 3.655 1.539 -5.074 -2.389 -1.604 4.444 -2.188 3.081" Properties=species:S:1:pos:R:3 pbc="T T T"
Mn -2.255 1.050 2.294
Ca -2.653 -1.972 0.722
Mg -4.676 0.633 -0.033
Ca 0.000 0.000 0.000
```

Properties
- Energy of formation from the pure elements: 303 meV per atom
- DOS(E_F): 3.2 states/eV per cell
- Symmetry: I-4m2, No. 119
- Energy: -0.12453 hartree per atom
- Magnetic moment: 3.7 μB/cell


Record 4
Below is a geometry-optimized UPa2Al structure, with properties calculated at the PBE level.

```
4
Lattice="-1.736 3.590 2.994 -4.207 2.407 -1.172 -4.139 -0.767 2.673" Properties=species:S:1:pos:R:3 pbc="T T T"
Al 0.000 0.000 0.000
Pa -7.562 3.922 3.371
Pa -2.521 1.307 1.124
U -5.041 2.615 2.247
```

Properties
- Energy of formation from the pure elements: 93 meV per atom
- DOS(E_F): 8.8 states/eV per cell
- Symmetry: Fm-3m, No. 225
- Energy: -0.30918 hartree per atom
- Magnetic moment: 3.1 μB/cell


Record 5
Below is a geometry-optimized LiSi2Pd2 structure, with properties calculated at the PBE level.

```
5
Lattice="3.766 0.000 0.000 0.000 3.766 0.000 1.883 1.883 5.802" Properties=species:S:1:pos:R:3 pbc="T T T"
Pd 1.883 1.883 1.381
Pd 3.766 3.766 4.422
Si 1.883 3.766 2.901
Li 0.000 0.000 0.000
Si 3.766 1.883 2.901
```

Properties
- DOS(E_F): 1.8 states/eV per cell
- Uncorrected formation energy: -35.0 kJ/mol of atoms
- Symmetry: I4/mmm, No. 139
- Energy: -0.18345 hartree per atom
- Magnetic moment: 0.0 μB/cell


Record 6
Below is a geometry-optimized NiAs2H structure, with properties calculated at the PBE level.

```
4
Lattice="-4.016 -0.871 0.503 -2.503 2.752 1.817 -2.849 2.001 -2.240" Properties=species:S:1:pos:R:3 pbc="T T T"
As -2.342 0.971 0.020
H 0.000 0.000 0.000
Ni -4.684 1.941 0.040
As -7.026 2.912 0.060
```

Properties
- DOS(E_F): 1.7 states/eV per cell
- Symmetry: Fm-3m, No. 225
- Energy: -0.15846 hartree per atom
- Magnetic moment: 0.0 μB/cell


Repeat the fourth record exactly.
Below is a geometry-optimized UPa2Al structure, with properties calculated at the PBE level.

```
4
Lattice="-1.736 3.590 2.994 -4.207 2.407 -1.172 -4.139 -0.767 2.673" Properties=species:S:1:pos:R:3 pbc="T T T"
Al 0.000 0.000 0.000
Pa -7.562 3.922 3.371
Pa -2.521 1.307 1.124
U -5.041 2.615 2.247
```

Properties
- Energy of formation from the pure elements: 93 meV per atom
- DOS(E_F): 8.8 states/eV per cell
- Symmetry: Fm-3m, No. 225
- Energy: -0.30918 hartree per atom
- Magnetic moment: 3.1 μB/cell


> Which formula does entry 4 have?

UPa2Al